(1)
{
  "formula": "Tb3Tm",
  "functional": "PBE-GGA",
  "state": "relaxed",
  "cell": [[3.616, 0.000, 0.000], [0.000, 5.615, 0.000], [0.000, 0.000, 6.260]],
  "species": ["Tm", "Tb", "Tb", "Tb"],
  "fractional_positions": [[0.000, 0.000, 0.001], [0.000, 0.500, 0.333], [0.500, 0.000, 0.499], [0.500, 0.500, 0.834]],
  "spacegroup": "No. 25",
  "m_tot_mub_per_fu": 0.00,
  "de_polymorph_mev_per_atom": 0,
  "dos_ef_per_ev_cell": 6.57,
  "formation_energy_ev_per_atom": 0.009
}

=====

(2)
{
  "formula": "Tb8Tm3",
  "functional": "PBE-GGA",
  "state": "relaxed",
  "cell": [[7.124, 0.261, 0.255], [0.442, 7.115, 0.255], [0.442, 0.431, 7.107]],
  "species": ["Tb", "Tb", "Tb", "Tb", "Tb", "Tb", "Tb", "Tb", "Tm", "Tm", "Tm"],
  "fractional_positions": [[0.881, 0.305, 0.153], [0.305, 0.153, 0.881], [0.153, 0.881, 0.305], [0.387, 0.387, 0.387], [0.613, 0.613, 0.613], [0.847, 0.119, 0.695], [0.695, 0.847, 0.119], [0.119, 0.695, 0.847], [0.500, 0.000, 0.500], [0.000, 0.500, 0.500], [0.500, 0.500, 0.000]],
  "spacegroup": "No. 148",
  "m_tot_mub_per_fu": 0.00,
  "de_polymorph_mev_per_atom": 141,
  "dos_ef_per_ev_cell": 11.10,
  "formation_energy_ev_per_atom": 0.540
}

=====

(3)
{
  "formula": "Tb3Tm",
  "functional": "PBE-GGA",
  "state": "relaxed",
  "cell": [[-3.201, -1.738, 4.307], [-1.719, -5.367, 0.250], [2.151, -3.472, 3.891]],
  "species": ["Tm", "Tb", "Tb", "Tb"],
  "fractional_positions": [[0.500, 0.500, 0.500], [0.000, 0.000, 0.000], [0.750, 0.750, 0.750], [0.250, 0.250, 0.250]],
  "spacegroup": "No. 225",
  "m_tot_mub_per_fu": 0.00,
  "de_polymorph_mev_per_atom": 133,
  "dos_ef_per_ev_cell": 9.83,
  "formation_energy_ev_per_atom": 0.143
}

=====

(4)
{
  "formula": "TbTm3",
  "functional": "PBE-GGA",
  "state": "relaxed",
  "cell": [[4.949, 0.000, 0.000], [0.000, 4.949, 0.000], [0.000, 0.000, 4.949]],
  "species": ["Tm", "Tm", "Tm", "Tb"],
  "fractional_positions": [[0.000, 0.500, 0.500], [0.500, 0.000, 0.500], [0.500, 0.500, 0.000], [0.000, 0.000, 0.000]],
  "spacegroup": "No. 221",
  "m_tot_mub_per_fu": 0.00,
  "de_polymorph_mev_per_atom": 25,
  "dos_ef_per_ev_cell": 5.72,
  "formation_energy_ev_per_atom": 0.025
}

=====

(5)
{
  "formula": "Tb5Tm",
  "functional": "PBE-GGA",
  "state": "relaxed",
  "cell": [[5.008, 0.000, 0.000], [0.000, 5.007, 0.000], [0.000, -2.503, 7.513]],
  "species": ["Tm", "Tb", "Tb", "Tb", "Tb", "Tb"],
  "fractional_positions": [[0.000, 0.000, 0.000], [0.000, 0.666, 0.332], [0.000, 0.334, 0.668], [0.500, 0.500, 0.000], [0.500, 0.166, 0.333], [0.500, 0.834, 0.667]],
  "spacegroup": "No. 65",
  "m_tot_mub_per_fu": 0.00,
  "dos_ef_per_ev_cell": 7.96,
  "formation_energy_ev_per_atom": 0.017
}

=====

(6)
{
  "formula": "Tb2Tm17",
  "functional": "PBE-GGA",
  "state": "relaxed",
  "cell": [[8.354, -0.387, 1.971], [1.472, 8.233, 1.971], [-0.485, -0.387, 8.570]],
  "species": ["Tb", "Tb", "Tm", "Tm", "Tm", "Tm", "Tm", "Tm", "Tm", "Tm", "Tm", "Tm", "Tm", "Tm", "Tm", "Tm", "Tm", "Tm", "Tm"],
  "fractional_positions": [[0.676, 0.676, 0.676], [0.324, 0.324, 0.324], [0.366, 0.366, 0.853], [0.366, 0.853, 0.366], [0.099, 0.099, 0.099], [0.901, 0.901, 0.901], [0.000, 0.000, 0.500], [0.500, 0.000, 0.000], [0.000, 0.500, 0.000], [0.300, 0.700, 0.000], [0.000, 0.300, 0.700], [0.700, 0.000, 0.300], [0.700, 0.300, 0.000], [0.000, 0.700, 0.300], [0.300, 0.000, 0.700], [0.634, 0.147, 0.634], [0.634, 0.634, 0.147], [0.147, 0.634, 0.634], [0.853, 0.366, 0.366]],
  "spacegroup": "No. 166",
  "m_tot_mub_per_fu": 0.01,
  "dos_ef_per_ev_cell": 34.38,
  "formation_energy_ev_per_atom": 0.289
}